{"formula": "Sr2NbTl3O6", "functional": "PBE-GGA", "state": "optimized geometry", "volume_a3_per_atom": 17.77, "formation_energy_uncorrected_ev_per_atom": -1.937, "spacegroup": "C2/m", "cell": [[-0.7974, -1.5058, 5.9817], [4.6967, -2.4934, -3.2262], [2.5478, 6.0751, 0.8686]], "species": ["Nb", "Sr", "Sr", "O", "O", "O", "O", "O", "O", "Tl", "Tl", "Tl"], "frac_coords": [[0.0000, 0.0000, 0.0000], [0.3321, 0.6679, 0.0000], [0.6679, 0.3321, 0.0000], [0.0600, 0.3324, 0.1718], [0.3324, 0.0600, 0.1718], [0.7877, 0.7877, 0.1951], [0.6676, 0.9400, 0.8282], [0.2123, 0.2123, 0.8049], [0.9400, 0.6676, 0.8282], [0.5000, 0.5000, 0.5000], [0.1616, 0.8384, 0.5000], [0.8384, 0.1616, 0.5000]]}